Entry 1:
A relaxed Ba3ScCd crystal. Source: Alexandria via LeMat-Bulk, functional PBE.

```
Ba3ScCd
1.0
6.5634 0.0000 0.0000
0.0000 6.5634 0.0000
0.0000 0.0000 6.5634
Ba Cd Sc
3 1 1
direct
0.0000 0.5000 0.0000
0.5000 0.0000 0.0000
0.0000 0.0000 0.5000
0.0000 0.0000 0.0000
0.5000 0.5000 0.5000
```

E above lowest polymorph   0 meV/atom
DFT formation energy   0.419 eV per atom
Magnetization   1.42 μB/cell
Space-group type   Pm-3m
Theoretical density   3.344 g/cm³
Final energy   -10.921 eV per cell


Entry 2:
A relaxed BaSc2Cd crystal. Source: Alexandria via LeMat-Bulk, functional PBE.

```
BaSc2Cd
1.0
-1.6782 5.6025 0.0460
-5.6759 -0.1065 1.4070
4.5256 -2.5221 2.7138
Sc Cd Ba
2 1 1
direct
0.0000 0.0000 0.0000
0.2500 0.7500 0.5000
0.7500 0.2500 0.5000
0.5000 0.5000 0.0000
```

DFT formation energy   0.214 eV per atom
Magnetization   0.16 μB/cell
Space-group type   I-4m2
Theoretical density   4.813 g/cm³
Final energy   -14.646 eV per cell


Entry 3:
A relaxed BaScCd2 crystal. Source: Alexandria via LeMat-Bulk, functional PBE.

```
BaScCd2
1.0
4.6201 -1.8698 -2.4024
0.7947 -5.4417 -0.6077
-0.2292 -2.2841 -5.0342
Cd Sc Ba
2 1 1
direct
0.2500 0.2500 0.2500
0.7500 0.7500 0.7500
0.0000 0.0000 0.0000
0.5000 0.5000 0.5000
```

E above lowest polymorph   146 meV/atom
DFT formation energy   -0.086 eV per atom
Magnetization   0.00 μB/cell
Space-group type   Fm-3m
Theoretical density   5.644 g/cm³
Final energy   -10.430 eV per cell